# KNaLiP, relaxed, DFT PBE
data_KNaLiP
_cell_length_a 4.6050
_cell_length_b 4.6050
_cell_length_c 17.4803
_cell_angle_alpha 90.00
_cell_angle_beta 90.00
_cell_angle_gamma 120.00
_space_group_name_H-M_alt 'R 3 m'
_space_group_IT_number 160
_space_group_name_Hall 'R 3 -2"'
loop_
_atom_site_label
_atom_site_fract_x
_atom_site_fract_y
_atom_site_fract_z
K1 0.0000 0.0000 0.0000
Na1 0.0000 0.0000 0.8142
Li1 0.0000 0.0000 0.5412
P1 0.0000 0.0000 0.2066
# * VASP energy: -2.811 eV/atom
# * offset from the most stable computed form: 0.0 meV/atom
# * E_form: -0.376 eV/atom

# KCrSb2I, relaxed, DFT PBE
data_KCrSb2I
_cell_length_a 5.103
_cell_length_b 5.103
_cell_length_c 6.456
_cell_angle_alpha 90.00
_cell_angle_beta 90.00
_cell_angle_gamma 90.00
_space_group_name_H-M_alt 'P 4/m m m'
_space_group_IT_number 123
_space_group_name_Hall '-P 4 2'
loop_
_atom_site_label
_atom_site_fract_x
_atom_site_fract_y
_atom_site_fract_z
K1 0.000 0.000 0.000
Cr1 0.500 0.500 0.500
Sb1 0.000 0.500 0.500
I1 0.500 0.500 0.000
# * VASP energy: -4.209 eV/atom
# * offset from the most stable computed form: 0.0 meV/atom
# * E_form (uncorrected): -0.106 eV/atom

# Al2TlOs, relaxed, DFT PBE
data_Al2TlOs
_cell_length_a 4.174
_cell_length_b 4.174
_cell_length_c 17.674
_cell_angle_alpha 90.00
_cell_angle_beta 90.00
_cell_angle_gamma 90.00
_space_group_name_H-M_alt 'I -4 2 d'
_space_group_IT_number 122
_space_group_name_Hall 'I -4 2bw'
loop_
_atom_site_label
_atom_site_fract_x
_atom_site_fract_y
_atom_site_fract_z
Al1 0.197 0.250 0.125
Tl1 0.000 0.000 0.500
Os1 0.000 0.000 0.000
# * VASP energy: -4.705 eV/atom
# * offset from the most stable computed form: 649.9 meV/atom
# * E_form: 0.565 eV/atom

# HoCoW, relaxed, DFT PBE
data_HoCoW
_cell_length_a 6.248
_cell_length_b 6.248
_cell_length_c 6.528
_cell_angle_alpha 90.00
_cell_angle_beta 90.00
_cell_angle_gamma 90.00
_space_group_name_H-M_alt 'P 41 21 2'
_space_group_IT_number 92
_space_group_name_Hall 'P 4abw 2nw'
loop_
_atom_site_label
_atom_site_fract_x
_atom_site_fract_y
_atom_site_fract_z
Ho1 0.232 0.232 0.000
Co1 0.066 0.934 0.750
W1 0.172 0.172 0.500
# * VASP energy: -7.649 eV/atom
# * E_form: 0.563 eV/atom

# CdAg2OsRu, relaxed, DFT PBE
data_CdAg2OsRu
_cell_length_a 4.864
_cell_length_b 4.864
_cell_length_c 4.990
_cell_angle_alpha 90.00
_cell_angle_beta 90.00
_cell_angle_gamma 90.00
_space_group_name_H-M_alt 'P 4/m m m'
_space_group_IT_number 123
_space_group_name_Hall '-P 4 2'
loop_
_atom_site_label
_atom_site_fract_x
_atom_site_fract_y
_atom_site_fract_z
Cd1 0.000 0.000 0.000
Ag1 0.000 0.500 0.000
Os1 0.500 0.500 0.500
Ru1 0.000 0.000 0.500
# * VASP energy: -3.268 eV/atom
# * E_form: 2.157 eV/atom

# CrIr4, relaxed, DFT PBE
data_CrIr4
_cell_length_a 5.522
_cell_length_b 5.522
_cell_length_c 5.522
_cell_angle_alpha 90.00
_cell_angle_beta 90.00
_cell_angle_gamma 90.00
_space_group_name_H-M_alt 'I m -3 m'
_space_group_IT_number 229
_space_group_name_Hall '-I 4 2 3'
loop_
_atom_site_label
_atom_site_fract_x
_atom_site_fract_y
_atom_site_fract_z
Cr1 0.000 0.000 0.000
Ir1 0.250 0.250 0.250
# * VASP energy: -8.164 eV/atom
# * offset from the most stable computed form: 979.0 meV/atom
# * E_form: 0.850 eV/atom

Computed volume, in the same sequence as the records: 26.75 33.62 19.24 21.24 23.61 16.84 Å³ per atom.